Material: Pr4Nd2DyHo
Method: DFT, GGA-PBE
State: optimized geometry

Unit cell a=5.176 b=5.208 c=10.288 alpha=90.00 beta=90.11 gamma=90.00
Space group P2/m (No. 10)
Asymmetric unit:
Pr (0.000, 0.000, 0.249)
Pr (0.499, 0.500, 0.750)
Nd (0.000, 0.500, 0.000)
Nd (0.500, 0.000, 0.500)
Dy (0.000, 0.500, 0.500)
Ho (0.500, 0.000, 0.000)

Density ... 7.06 g cm⁻³
Fermi-level density of states ... 11.4 states/eV/f.u.
Formation energy ... 0.014 eV/atom